Model one:
This record from Alexandria describes a relaxed structure of NaCr2Ni. The functional is GGA-PBE.

- crystal system = cubic
- density (g/cm³) = 4.82

The structure in CIF format:
```
data_NaCr2Ni
_chemical_formula_sum 'Na1 Cr2 Ni1'
_cell_length_a 4.490
_cell_length_b 4.490
_cell_length_c 4.490
_cell_angle_alpha 60.00
_cell_angle_beta 60.00
_cell_angle_gamma 60.00
_space_group_name_H-M_alt 'P 1'
_space_group_IT_number 1
loop_
_space_group_symop_operation_xyz
'x,y,z'
loop_
_atom_site_label
_atom_site_fract_x
_atom_site_fract_y
_atom_site_fract_z
Ni1 0.500 0.500 0.500
Na1 0.000 0.000 0.000
Cr1 0.250 0.250 0.250
Cr2 0.750 0.750 0.750
```



Model two:
This record from Alexandria describes a relaxed structure of NaCr2Ni. The functional is GGA-PBE.

- crystal system = tetragonal
- density (g/cm³) = 5.40

The structure in CIF format:
```
data_NaCr2Ni
_chemical_formula_sum 'Na2 Cr4 Ni2'
_cell_length_a 3.475
_cell_length_b 3.475
_cell_length_c 9.780
_cell_angle_alpha 79.77
_cell_angle_beta 79.77
_cell_angle_gamma 90.00
_space_group_name_H-M_alt 'P 1'
_space_group_IT_number 1
loop_
_space_group_symop_operation_xyz
'x,y,z'
loop_
_atom_site_label
_atom_site_fract_x
_atom_site_fract_y
_atom_site_fract_z
Ni1 0.000 0.000 0.000
Ni2 0.750 0.250 0.500
Na1 0.500 0.500 0.000
Na2 0.250 0.750 0.500
Cr1 0.680 0.125 0.250
Cr2 0.070 0.625 0.250
Cr3 0.375 0.320 0.750
Cr4 0.875 0.930 0.750
```



Most stable structure among those shown: model one. Next: +212 meV per atom.